[1]
# GeSb2WI

A geometry-optimized GeSb2WI structure (PBE-GGA, Alexandria via LeMat-Bulk).

abc: 5.313 5.313 5.400
angles: 90.00 90.00 90.00
Each line ends with the local moment (μB).
Element x y z (fractional)
Sb 0.500 0.000 0.000  -0.16
Sb 0.000 0.500 0.000  -0.16
Ge 0.000 0.000 0.000  -0.01
I 0.000 0.000 0.500  -0.07
W 0.500 0.500 0.500  3.01

Values from the calculation:
- Size of the total moment: 0.659 μB per atom
- Formation energy (no corrections): 7.92 eV/f.u.
- Distance to the lowest polymorph of the same formula: 64.1 kJ per mole of atoms
- Final energy: -3.889 eV/atom

***

[2]
# GeSb2WI

A geometry-optimized GeSb2WI structure (PBE-GGA, Alexandria via LeMat-Bulk).

abc: 5.188 5.188 5.844
angles: 90.00 90.00 90.00
Each line ends with the local moment (μB).
Element x y z (fractional)
W 0.000 0.000 0.000  0.75
Sb 0.000 0.500 0.000  -0.08
Sb 0.500 0.000 0.000  -0.08
I 0.000 0.000 0.500  -0.02
Ge 0.500 0.500 0.500  0.36

Values from the calculation:
- Size of the total moment: 0.302 μB per atom
- Formation energy (no corrections): 4.60 eV/f.u.
- Distance to the lowest polymorph of the same formula: 0.0 kJ per mole of atoms
- Final energy: -4.553 eV/atom

***

[3]
# YGeSb2I

A geometry-optimized YGeSb2I structure (PBE-GGA, Alexandria via LeMat-Bulk).

abc: 5.887 5.887 5.756
angles: 90.00 90.00 90.00
Each line ends with the local moment (μB).
Element x y z (fractional)
Sb 0.000 0.500 0.000  -0.01
Sb 0.500 0.000 0.000  -0.01
I 0.000 0.000 0.500  0.01
Y 0.000 0.000 0.000  0.00
Ge 0.500 0.500 0.500  0.06

Values from the calculation:
- Size of the total moment: 0.023 μB per atom
- Formation energy (no corrections): 1.84 eV/f.u.
- Distance to the lowest polymorph of the same formula: 20.4 kJ per mole of atoms
- Final energy: -3.808 eV/atom

***

[4]
# YGeSb2I

A geometry-optimized YGeSb2I structure (PBE-GGA, Alexandria via LeMat-Bulk).

abc: 5.348 5.348 5.565
angles: 90.00 90.00 90.00
Element x y z (fractional)
I 0.000 0.000 0.500
Sb 0.000 0.500 0.000
Sb 0.500 0.000 0.000
Y 0.500 0.500 0.500
Ge 0.000 0.000 0.000

Values from the calculation:
- Size of the total moment: 0.000 μB per atom
- Formation energy (no corrections): 0.78 eV/f.u.
- Distance to the lowest polymorph of the same formula: 0.0 kJ per mole of atoms
- Final energy: -4.019 eV/atom